Record 1
Density functional theory data (PBE) for a relaxed SrAgBi2Se4 crystal.

Summary:
**Energy relative to the elements, uncorrected**: -0.645 eV per atom

Unit cell a=4.5618 b=13.7233 c=14.4481 alpha=90.00 beta=90.00 gamma=90.00
Closest atoms and distances in Å follow each position.
Space group Cmcm (No. 63)
One atom of each set of equivalent atoms:
Sr (0.0000, 0.1326, 0.2500) x4  6 Se 3.18-3.27
Ag (0.0000, 0.1275, 0.7500) x4  4 Se 2.65-2.75
Bi (0.0000, 0.3750, 0.0554) x8  6 Se 2.87-3.16
Se (0.0000, 0.0000, 0.0000) x4  4 Bi 2.96
Se (0.0000, 0.2703, 0.6163) x8  1 Ag 2.75, 1 Bi 2.87
Se (0.0000, 0.4708, 0.2500) x4  2 Ag 2.65

Record 2
Density functional theory data (PBE) for a relaxed P2OsSCl crystal.

Summary:
**Energy relative to the elements, uncorrected**: 0.607 eV per atom

Unit cell a=4.6336 b=4.6336 c=4.6339 alpha=90.00 beta=90.00 gamma=90.00
Closest atoms and distances in Å follow each position.
Space group P4/mmm (No. 123)
One atom of each set of equivalent atoms:
P (0.0000, 0.5000, 0.0000) x2  2 Os 2.32
Os (0.0000, 0.0000, 0.0000) x1  4 P 2.32, 2 S 2.32
S (0.0000, 0.0000, 0.5000) x1  2 Os 2.32
Cl (0.5000, 0.5000, 0.5000) x1  4 S 3.28, 8 P 3.28

Record 3
Density functional theory data (PBE) for a relaxed Na3SbN crystal.

Summary:
**Energy relative to the elements, uncorrected**: 0.344 eV per atom

Unit cell a=4.7989 b=4.7989 c=4.7989 alpha=90.00 beta=90.00 gamma=90.00
Closest atoms and distances in Å follow each position.
Space group Pm-3m (No. 221)
One atom of each set of equivalent atoms:
Na (0.0000, 0.0000, 0.5000) x3  2 N 2.40
Sb (0.5000, 0.5000, 0.5000) x1  12 Na 3.39
N (0.0000, 0.0000, 0.0000) x1  6 Na 2.40

Record 4
Density functional theory data (PBE) for a relaxed DyHoTm2Sc5 crystal.

Summary:
**Uncorrected energy**: -5.36 eV per atom

Unit cell a=5.3049 b=18.5032 c=10.2179 alpha=90.00 beta=90.00 gamma=90.00
Closest atoms and distances in Å follow each position.
Space group Cmc2_1 (No. 36)
One atom of each set of equivalent atoms:
Dy (0.0000, 0.0823, 0.0000) x4  5 Sc 2.92-3.04
Ho (0.0000, 0.2931, 0.5537) x4  8 Sc 3.31-3.52, 2 Tm 3.38-3.64, 2 Dy 3.56
Tm (0.0000, 0.3875, 0.8663) x4  9 Sc 3.21-3.44
Tm (0.0000, 0.3913, 0.2744) x4  7 Sc 3.16-3.53, 1 Ho 3.38
Sc (0.0000, 0.0219, 0.2766) x4  2 Dy 2.99-3.04, 3 Sc 3.16-3.32, 2 Tm 3.27
Sc (0.0000, 0.1030, 0.5653) x4  5 Sc 3.16-3.53, 4 Tm 3.35-3.41, 1 Dy 3.49, 1 Ho 3.52
Sc (0.0000, 0.2009, 0.2545) x4  3 Sc 3.21-3.32, 3 Tm 3.32-3.53, 3 Ho 3.35-3.50, 1 Dy 3.40
Sc (0.0000, 0.2147, 0.8452) x4  1 Dy 2.92, 1 Tm 3.21, 2 Sc 3.21
Sc (0.0000, 0.4791, 0.5736) x4  2 Dy 2.98, 2 Tm 3.16-3.25